No. 1
An optimized crystal structure of Pm2Be4Si3Os, computed with PBE.

The space group is P-4m2 (No. 115) and the conventional cell measures 3.865, 3.865 and 10.030 Å, with angles of 90.00, 90.00 and 90.00 degrees. The distinct sites, in fractional coordinates, are Pm at (0.000, 0.500, 0.245), Be at (0.000, 0.000, 0.000), Be at (0.000, 0.500, 0.631), Be at (0.500, 0.500, 0.000), Si at (0.000, 0.500, 0.871), Si at (0.500, 0.500, 0.500) and Os at (0.000, 0.000, 0.500).

The calculation puts the formation energy from raw total energies at -0.391 eV/atom. The calculation puts the total energy at -55.82 eV/cell. The calculation puts the total magnetization at 0.000 μB per formula unit.

=====

No. 2
An optimized crystal structure of TbEr4ScS8, computed with PBE.

The space group is R3m (No. 160, hexagonal axes) and the conventional cell measures 7.9260, 7.9260 and 19.4644 Å, with angles of 90.00, 90.00 and 120.00 degrees. The distinct sites, in fractional coordinates, are Tb at (0.0000, 0.0000, 0.0000), Er at (0.0000, 0.0000, 0.3779), Er at (0.0079, 0.5040, 0.5042), Sc at (0.0000, 0.0000, 0.6284), S at (0.0000, 0.0000, 0.2445), S at (0.0000, 0.0000, 0.7569), S at (0.0202, 0.5101, 0.7570) and S at (0.1698, 0.3396, 0.5840).

The calculation puts the formation energy from raw total energies at -1.918 eV/atom. The calculation puts the total energy at -267.25 eV/cell. The calculation puts the total magnetization at 0.691 μB per formula unit.

=====

No. 3
An optimized crystal structure of ReSbIO2, computed with PBE.

The space group is P4/mmm (No. 123) and the conventional cell measures 3.977, 3.977 and 6.216 Å, with angles of 90.00, 90.00 and 90.00 degrees. The distinct sites, in fractional coordinates, are Re at (0.000, 0.000, 0.000), Sb at (0.500, 0.500, 0.500), I at (0.000, 0.000, 0.500) and O at (0.000, 0.500, 0.000).

The calculation puts the formation energy from raw total energies at -0.078 eV/atom. As for the energy above the lowest structure with this stoichiometry: 0.000 eV/atom. The calculation puts the total energy at -28.43 eV/cell. The calculation puts the total magnetization at 0.000 μB per formula unit.

=====

No. 4
An optimized crystal structure of CsHf2BiPd, computed with PBE.

The space group is P4/mmm (No. 123) and the conventional cell measures 5.217, 5.217 and 5.878 Å, with angles of 90.00, 90.00 and 90.00 degrees. The distinct sites, in fractional coordinates, are Cs at (0.000, 0.000, 0.000), Hf at (0.000, 0.500, 0.500), Bi at (0.500, 0.500, 0.000) and Pd at (0.000, 0.000, 0.500).

The calculation puts the total energy at -26.19 eV/cell. The calculation puts the formation energy at 70.38 kJ per mole of atoms. The calculation puts the total magnetization at 0.000 μB per formula unit.

=====

No. 5
An optimized crystal structure of Pa2SnIr, computed with PBE.

The space group is P4/mmm (No. 123) and the conventional cell measures 3.271, 3.271 and 8.538 Å, with angles of 90.00, 90.00 and 90.00 degrees. The distinct sites, in fractional coordinates, are Pa at (0.000, 0.000, 0.218), Sn at (0.500, 0.500, 0.500) and Ir at (0.500, 0.500, 0.000).

As for the energy above the lowest structure with this stoichiometry: 0.000 eV/atom. The calculation puts the total energy at -33.83 eV/cell. The calculation puts the formation energy at -47.74 kJ per mole of atoms. The calculation puts the total magnetization at 0.000 μB per formula unit.

=====

No. 6
An optimized crystal structure of Ge2ICl, computed with PBE.

The space group is I-42d (No. 122) and the conventional cell measures 5.104, 5.104 and 18.349 Å, with angles of 90.00, 90.00 and 90.00 degrees. The distinct sites, in fractional coordinates, are Ge at (0.116, 0.250, 0.125), I at (0.000, 0.000, 0.500) and Cl at (0.000, 0.000, 0.000).

The calculation puts the formation energy from raw total energies at 0.045 eV/atom. As for the energy above the lowest structure with this stoichiometry: 0.000 eV/atom. The calculation puts the total energy at -49.80 eV/cell. The calculation puts the total magnetization at 0.000 μB per formula unit.

=====

Please write out number 2 again, unchanged.
An optimized crystal structure of TbEr4ScS8, computed with PBE.

The space group is R3m (No. 160, hexagonal axes) and the conventional cell measures 7.9260, 7.9260 and 19.4644 Å, with angles of 90.00, 90.00 and 120.00 degrees. The distinct sites, in fractional coordinates, are Tb at (0.0000, 0.0000, 0.0000), Er at (0.0000, 0.0000, 0.3779), Er at (0.0079, 0.5040, 0.5042), Sc at (0.0000, 0.0000, 0.6284), S at (0.0000, 0.0000, 0.2445), S at (0.0000, 0.0000, 0.7569), S at (0.0202, 0.5101, 0.7570) and S at (0.1698, 0.3396, 0.5840).

The calculation puts the formation energy from raw total energies at -1.918 eV/atom. The calculation puts the total energy at -267.25 eV/cell. The calculation puts the total magnetization at 0.691 μB per formula unit.